Here is a relaxed ReNiN2O crystal from the Alexandria database. Energies are from GGA+U.

* E: -5.87 eV/atom
* V: 48.5 Å³/cell
* theoretical density: 9.900 g cm⁻³

Unit cell a=3.6715 b=3.6715 c=3.5949 alpha=90.00 beta=90.00 gamma=90.00
Last column: magnetic moment on the atom in μB.
Element x y z (fractional)
Ni  0.0000  0.0000  0.0000  0.85
N  0.5000  0.0000  0.0000  -0.20
N  0.0000  0.5000  0.0000  -0.20
Re  0.5000  0.5000  0.5000  1.62
O  0.0000  0.0000  0.5000  -0.05